(1)
Below is a geometry-optimized Sm5Er5Sc structure, with properties calculated at the PBE-GGA level.

Output
As for the calculated formation energy: 32.0 kJ/mol of atoms. The raw total energy is -49.10 eV for the cell shown. For the size of the total moment, the calculation gives 0.0 Bohr magnetons per cell.

The structure in CIF format:
```
data_Sm5Er5Sc
_cell_length_a 6.0267
_cell_length_b 6.0267
_cell_length_c 11.6060
_cell_angle_alpha 90.00
_cell_angle_beta 90.00
_cell_angle_gamma 120.00
_space_group_name_H-M_alt 'P -6 m 2'
_space_group_IT_number 187
_space_group_name_Hall 'P -6 2'
loop_
_atom_site_label
_atom_site_fract_x
_atom_site_fract_y
_atom_site_fract_z
_atom_site_occupancy
Sm1 0.0000 0.0000 0.0000 1
Sm2 0.3333 0.6667 0.3089 1
Sm3 0.6667 0.3333 0.1530 1
Er1 0.0000 0.0000 0.2658 1
Er2 0.3347 0.1673 0.5000 1
Sc1 0.3333 0.6667 0.0000 1
```

(2)
Below is a geometry-optimized Sr4Tl3Ag structure, with properties calculated at the PBE-GGA level.

Output
As for the calculated formation energy: -36.4 kJ/mol of atoms. The raw total energy is -19.69 eV for the cell shown. For the size of the total moment, the calculation gives 0.0 Bohr magnetons per cell.

The structure in CIF format:
```
data_Sr4Tl3Ag
_cell_length_a 4.0525
_cell_length_b 4.0525
_cell_length_c 16.3431
_cell_angle_alpha 90.00
_cell_angle_beta 90.00
_cell_angle_gamma 90.00
_space_group_name_H-M_alt 'P 4/m m m'
_space_group_IT_number 123
_space_group_name_Hall '-P 4 2'
loop_
_atom_site_label
_atom_site_fract_x
_atom_site_fract_y
_atom_site_fract_z
_atom_site_occupancy
Sr1 0.0000 0.0000 0.1191 1
Sr2 0.0000 0.0000 0.3732 1
Tl1 0.5000 0.5000 0.2478 1
Tl2 0.5000 0.5000 0.5000 1
Ag1 0.5000 0.5000 0.0000 1
```

(3)
Below is a geometry-optimized LaRu structure, with properties calculated at the PBE-GGA level.

Output
As for the calculated formation energy: 14.7 kJ/mol of atoms. The raw total energy is -83.39 eV for the cell shown. For the size of the total moment, the calculation gives 0.0 Bohr magnetons per cell.

The structure in CIF format:
```
data_LaRu
_cell_length_a 10.3344
_cell_length_b 10.3344
_cell_length_c 3.8553
_cell_angle_alpha 90.00
_cell_angle_beta 90.00
_cell_angle_gamma 120.00
_space_group_name_H-M_alt 'P 63/m'
_space_group_IT_number 176
_space_group_name_Hall '-P 6c'
loop_
_atom_site_label
_atom_site_fract_x
_atom_site_fract_y
_atom_site_fract_z
_atom_site_occupancy
La1 0.2049 0.4142 0.2500 1
Ru1 0.0636 0.5967 0.7500 1
```

(4)
Below is a geometry-optimized La4Te3Pd structure, with properties calculated at the PBE-GGA level.

Output
The calculation puts the uncorrected formation energy at -1.360 eV per atom. The raw total energy is -90.41 eV for the cell shown. For the size of the total moment, the calculation gives 0.0 Bohr magnetons per cell.

The structure in CIF format:
```
data_La4Te3Pd
_cell_length_a 7.9443
_cell_length_b 9.0775
_cell_length_c 7.7146
_cell_angle_alpha 90.00
_cell_angle_beta 109.10
_cell_angle_gamma 90.00
_space_group_name_H-M_alt 'P 1 2/c 1'
_space_group_IT_number 13
loop_
_space_group_symop_operation_xyz
'x,y,z'
'-x,-y,-z'
'-x,y,-z+1/2'
'x,-y,z+1/2'
loop_
_atom_site_label
_atom_site_fract_x
_atom_site_fract_y
_atom_site_fract_z
_atom_site_occupancy
La1 0.2278 0.1160 0.0080 1
La2 0.2423 0.3661 0.4920 1
Te1 0.0000 0.3751 0.7500 1
Te2 0.5000 0.1255 0.7500 1
Te3 0.5000 0.3774 0.2500 1
Pd1 0.0000 0.1241 0.2500 1
```

(5)
Below is a geometry-optimized NdZnNiSn structure, with properties calculated at the PBE-GGA level.

Output
As for the calculated formation energy: -34.0 kJ/mol of atoms. The raw total energy is -68.95 eV for the cell shown. For the size of the total moment, the calculation gives 0.0 Bohr magnetons per cell.

The structure in CIF format:
```
data_NdZnNiSn
_cell_length_a 6.8151
_cell_length_b 6.8151
_cell_length_c 6.8151
_cell_angle_alpha 90.00
_cell_angle_beta 90.00
_cell_angle_gamma 90.00
_space_group_name_H-M_alt 'F -4 3 m'
_space_group_IT_number 216
_space_group_name_Hall 'F -4 2 3'
loop_
_atom_site_label
_atom_site_fract_x
_atom_site_fract_y
_atom_site_fract_z
_atom_site_occupancy
Nd1 0.0000 0.0000 0.0000 1
Zn1 0.2500 0.2500 0.2500 1
Ni1 0.2500 0.2500 0.7500 1
Sn1 0.0000 0.0000 0.5000 1
```

(6)
Below is a geometry-optimized ZrWSe3 structure, with properties calculated at the PBE-GGA level.

Output
The calculation puts the uncorrected formation energy at 0.668 eV per atom. The raw total energy is -28.62 eV for the cell shown. Its energy relative to the lowest polymorph listed for this composition is 317.4 meV/atom. For the size of the total moment, the calculation gives 4.0 Bohr magnetons per cell.

The structure in CIF format:
```
data_ZrWSe3
_cell_length_a 5.1666
_cell_length_b 5.1666
_cell_length_c 5.1666
_cell_angle_alpha 90.00
_cell_angle_beta 90.00
_cell_angle_gamma 90.00
_space_group_name_H-M_alt 'P m -3 m'
_space_group_IT_number 221
_space_group_name_Hall '-P 4 2 3'
loop_
_atom_site_label
_atom_site_fract_x
_atom_site_fract_y
_atom_site_fract_z
_atom_site_occupancy
Zr1 0.0000 0.0000 0.0000 1
W1 0.5000 0.5000 0.5000 1
Se1 0.0000 0.0000 0.5000 1
```